Here is a relaxed GaFe2AgF crystal from Alexandria via LeMat-Bulk. Energies are from GGA+U.

```
data_GaFe2AgF
_chemical_formula_sum 'Ga1 Fe2 Ag1 F1'
_cell_length_a 4.7909
_cell_length_b 4.8510
_cell_length_c 4.7909
_cell_angle_alpha 90.00
_cell_angle_beta 90.00
_cell_angle_gamma 90.00
_symmetry_space_group_name_H-M 'P 1'
_symmetry_Int_Tables_number 1
_symmetry_space_group_name_Hall 'P 1'
loop_
_atom_site_label
_atom_site_type_symbol
_atom_site_fract_x
_atom_site_fract_y
_atom_site_fract_z
Ga1 Ga 0.0000 0.0000 0.0000
Ag1 Ag 0.0000 0.5000 0.0000
Fe1 Fe 0.0000 0.0000 0.5000
Fe2 Fe 0.5000 0.0000 0.0000
F1 F 0.5000 0.5000 0.5000
```

Calculated values
The calculation puts the total moment at 6.848 μB/f.u. Its total energy is -3.16 eV/atom.